This record from Alexandria via LeMat-Bulk describes a relaxed LaTi2AgC crystal. The functional is GGA-PBE.

Summary:
The calculation puts the volume at 25.00 Å³ per atom. The raw total energy comes out at -0.2852 Ry per atom. The value obtained for the formation energy is 2.68 eV/atom. The space group is P4/mmm, No. 123. The value obtained for the density of states at the Fermi level is 5.96 states/eV/f.u.

a = 4.8136 Å, b = 5.3945 Å, c = 4.8136 Å
α = 90.00°, β = 90.00°, γ = 90.00°
Each line ends with the local moment (μB).
Fractional positions:
La (0.0000, 0.0000, 0.0000)  0.04
Ag (0.0000, 0.5000, 0.0000)  -0.01
C (0.5000, 0.5000, 0.5000)  0.40
Ti (0.0000, 0.0000, 0.5000)  0.15
Ti (0.5000, 0.0000, 0.0000)  0.22